This record from Alexandria describes a relaxed structure of Pm2AgS4. The functional is PBE-GGA.

Output
The formation energy (no corrections) comes out at -1.37 eV/atom. As for the magnetic moment: 0.0 μB/f.u. For the total energy, the calculation gives -5.496 eV/atom.

Cell: 6.896 5.573 8.383 Å, 90.00 101.63 90.00°
Atoms (fractional coordinates):
Pm 0.198 0.250 0.384
Pm 0.239 0.250 0.928
Pm 0.761 0.750 0.072
Pm 0.802 0.750 0.616
Ag 0.280 0.750 0.641
Ag 0.720 0.250 0.359
S 0.046 0.750 0.380
S 0.079 0.750 0.894
S 0.448 0.516 0.213
S 0.448 0.984 0.213
S 0.552 0.016 0.787
S 0.552 0.484 0.787
S 0.921 0.250 0.106
S 0.954 0.250 0.620